Here is a relaxed Mn5VO12 crystal from Alexandria. Energies are from GGA+U.

Unit cell a=5.1036 b=5.1036 c=10.1313 alpha=89.95 beta=89.95 gamma=120.48
Last column: magnetic moment on the atom in μB.
Fractional positions:
Mn  0.1667  0.8333  0.5000  3.31
Mn  0.6679  0.3321  0.0000  3.28
Mn  0.3321  0.6679  0.0000  3.28
Mn  0.8333  0.1667  0.5000  3.31
Mn  0.5000  0.5000  0.5000  3.31
O  0.3370  0.9952  0.0958  -0.12
O  0.0048  0.6630  0.9042  -0.12
O  0.4999  0.8332  0.4058  -0.16
O  0.8332  0.4999  0.4058  -0.16
O  0.1668  0.5001  0.5942  -0.16
O  0.8335  0.8335  0.5943  -0.16
O  0.5001  0.1668  0.5942  -0.16
O  0.9952  0.3370  0.0958  -0.12
O  0.6708  0.6708  0.0936  -0.10
O  0.6630  0.0048  0.9042  -0.12
O  0.3292  0.3292  0.9064  -0.10
O  0.1665  0.1665  0.4057  -0.16
V  0.0000  0.0000  0.0000  1.06

## Properties
**Uncorrected energy**: -7.1925 eV per atom
**Total magnetic moment**: 16.0 μB/f.u.
**SG**: C2/m